Record 1
A plane-wave DFT calculation with PBE was carried out for an optimized crystal structure of PrHoTcO6.

Unit cell a=5.502 b=5.502 c=5.044 alpha=90.00 beta=90.00 gamma=120.00
Positions (direct):
1 Pr 0.000 0.000 0.000
2 Ho 0.333 0.667 0.500
3 Tc 0.667 0.333 0.500
4 O 0.376 0.040 0.718
5 O 0.376 0.336 0.282
6 O 0.664 0.040 0.282
7 O 0.664 0.624 0.718
8 O 0.960 0.336 0.718
9 O 0.960 0.624 0.282

Properties
VASP energy in eV per atom: -7.975
V in Å³/cell: 132
Total moment in Bohr magnetons per cell: 1.013

---

Record 2
A plane-wave DFT calculation with PBE was carried out for an optimized crystal structure of PrHo2TeO8.

Unit cell a=5.014 b=5.014 c=7.064 alpha=90.00 beta=90.00 gamma=90.51
Positions (direct):
1 Pr 0.000 0.000 0.000
2 Ho 0.500 0.500 0.262
3 Ho 0.500 0.500 0.738
4 Te 0.000 0.000 0.500
5 O 0.185 0.815 0.295
6 O 0.185 0.815 0.705
7 O 0.278 0.278 0.500
8 O 0.324 0.324 0.000
9 O 0.676 0.676 0.000
10 O 0.722 0.722 0.500
11 O 0.815 0.185 0.295
12 O 0.815 0.185 0.705

Properties
VASP energy in eV per atom: -7.212
V in Å³/cell: 178
Total moment in Bohr magnetons per cell: 0.850

---

Record 3
A plane-wave DFT calculation with PBE was carried out for an optimized crystal structure of PrHoTe2O8.

Unit cell a=6.332 b=6.332 c=6.332 alpha=107.37 beta=107.37 gamma=113.76
Positions (direct):
1 Pr 0.000 0.000 0.000
2 Ho 0.750 0.250 0.500
3 Te 0.250 0.750 0.500
4 Te 0.500 0.500 0.000
5 O 0.052 0.373 0.321
6 O 0.052 0.730 0.679
7 O 0.111 0.302 0.809
8 O 0.270 0.948 0.321
9 O 0.494 0.302 0.191
10 O 0.627 0.948 0.679
11 O 0.698 0.506 0.809
12 O 0.698 0.889 0.191

Properties
VASP energy in eV per atom: -6.528
V in Å³/cell: 195
Total moment in Bohr magnetons per cell: 0.000

---

Record 4
A plane-wave DFT calculation with PBE was carried out for an optimized crystal structure of Pr2HoTe2O2.

Unit cell a=8.965 b=8.965 c=8.965 alpha=151.63 beta=151.63 gamma=40.55
Positions (direct):
1 Pr 0.109 0.109 0.000
2 Pr 0.891 0.891 0.000
3 Ho 0.500 0.500 0.000
4 Te 0.318 0.318 0.000
5 Te 0.682 0.682 0.000
6 O 0.000 0.500 0.500
7 O 0.500 0.000 0.500

Properties
VASP energy in eV per atom: -6.542
V in Å³/cell: 162
Total moment in Bohr magnetons per cell: 0.000

---

Record 5
A plane-wave DFT calculation with PBE was carried out for an optimized crystal structure of PrHoTeO6.

Unit cell a=5.592 b=5.592 c=9.955 alpha=90.00 beta=90.00 gamma=120.00
Positions (direct):
1 Pr 0.000 0.000 0.000
2 Pr 0.000 0.000 0.500
3 Ho 0.333 0.667 0.250
4 Ho 0.667 0.333 0.750
5 Te 0.333 0.667 0.750
6 Te 0.667 0.333 0.250
7 O 0.041 0.380 0.639
8 O 0.041 0.661 0.861
9 O 0.339 0.380 0.861
10 O 0.339 0.959 0.639
11 O 0.380 0.041 0.139
12 O 0.380 0.339 0.361
13 O 0.620 0.661 0.639
14 O 0.620 0.959 0.861
15 O 0.661 0.041 0.361
16 O 0.661 0.620 0.139
17 O 0.959 0.339 0.139
18 O 0.959 0.620 0.361

Properties
VASP energy in eV per atom: -7.135
V in Å³/cell: 270
Total moment in Bohr magnetons per cell: 0.000

---

Record 6
A plane-wave DFT calculation with PBE was carried out for an optimized crystal structure of PrHoTe2O.

Unit cell a=4.232 b=4.232 c=15.729 alpha=90.00 beta=90.00 gamma=90.00
Positions (direct):
1 Pr 0.250 0.250 0.072
2 Pr 0.750 0.750 0.928
3 Ho 0.250 0.250 0.627
4 Ho 0.750 0.750 0.373
5 Te 0.250 0.250 0.415
6 Te 0.250 0.250 0.808
7 Te 0.750 0.750 0.192
8 Te 0.750 0.750 0.585
9 O 0.250 0.750 0.000
10 O 0.750 0.250 0.000

Properties
VASP energy in eV per atom: -6.167
V in Å³/cell: 282
Total moment in Bohr magnetons per cell: 0.000

---

Record 7
A plane-wave DFT calculation with PBE was carried out for an optimized crystal structure of PrHoUO6.

Unit cell a=5.813 b=5.813 c=9.814 alpha=90.00 beta=90.00 gamma=120.00
Positions (direct):
1 Pr 0.000 0.000 0.000
2 Pr 0.000 0.000 0.500
3 Ho 0.333 0.667 0.250
4 Ho 0.667 0.333 0.750
5 U 0.333 0.667 0.750
6 U 0.667 0.333 0.250
7 O 0.021 0.363 0.638
8 O 0.021 0.658 0.862
9 O 0.342 0.363 0.862
10 O 0.342 0.979 0.638
11 O 0.363 0.021 0.138
12 O 0.363 0.342 0.362
13 O 0.637 0.658 0.638
14 O 0.637 0.979 0.862
15 O 0.658 0.021 0.362
16 O 0.658 0.637 0.138
17 O 0.979 0.342 0.138
18 O 0.979 0.637 0.362

Properties
VASP energy in eV per atom: -8.935
V in Å³/cell: 287
Total moment in Bohr magnetons per cell: 0.000

---

Which formula does entry 7 have?
PrHoUO6